## Zn2Se2I (GGA-PBE)

Data for crystalline Zn2Se2I at its relaxed geometry.

Cell lengths 8.2562, 8.2562, 3.1749 Å; angles 90.00, 90.00, 90.00 degrees
Element x y z (fractional)
I1 0.0000 0.0000 0.0000
I2 0.5000 0.5000 0.0000
Zn1 0.3540 0.8540 0.0000
Zn2 0.8540 0.6460 0.0000
Zn3 0.6460 0.1460 0.0000
Zn4 0.1460 0.3540 0.0000
Se1 0.1425 0.6425 0.5000
Se2 0.6425 0.8575 0.5000
Se3 0.8575 0.3575 0.5000
Se4 0.3575 0.1425 0.5000

Computed properties:
ΔE to the lowest computed polymorph: 45 meV/atom

***

## PuZn2CdAu2 (GGA-PBE)

Data for crystalline PuZn2CdAu2 at its relaxed geometry.

Cell lengths 4.5676, 4.5676, 6.7558 Å; angles 90.00, 90.00, 120.00 degrees
Element x y z (fractional)
Pu1 0.0000 0.0000 0.0000
Zn1 0.3333 0.6667 0.7167
Zn2 0.6667 0.3333 0.2833
Cd1 0.0000 0.0000 0.5000
Au1 0.3333 0.6667 0.2648
Au2 0.6667 0.3333 0.7352

Computed properties:
ΔE_f: -1.68 eV/f.u.

***

## Cd2Ag2Br (GGA-PBE)

Data for crystalline Cd2Ag2Br at its relaxed geometry.

Cell lengths 3.9950, 3.9950, 7.9451 Å; angles 75.44, 75.44, 90.00 degrees
Element x y z (fractional)
Br1 0.0000 0.0000 0.0000
Ag1 0.7500 0.2500 0.5000
Ag2 0.2500 0.7500 0.5000
Cd1 0.3965 0.3965 0.2070
Cd2 0.6035 0.6035 0.7930

Computed properties:
ΔE to the lowest computed polymorph: 0 meV/atom

***

## CaPm12Ir6 (GGA-PBE)

Data for crystalline CaPm12Ir6 at its relaxed geometry.

Cell lengths 8.6539, 8.6539, 8.6539 Å; angles 105.48, 105.48, 105.48 degrees
Element x y z (fractional)
Ca1 0.0000 0.0000 0.0000
Pm1 0.8766 0.1234 0.5000
Pm2 0.8165 0.5552 0.5552
Pm3 0.5552 0.5552 0.8165
Pm4 0.4448 0.1835 0.4448
Pm5 0.4448 0.4448 0.1835
Pm6 0.1835 0.4448 0.4448
Pm7 0.1234 0.5000 0.8766
Pm8 0.5000 0.8766 0.1234
Pm9 0.1234 0.8766 0.5000
Pm10 0.8766 0.5000 0.1234
Pm11 0.5000 0.1234 0.8766
Pm12 0.5552 0.8165 0.5552
Ir1 0.6874 0.2541 0.2541
Ir2 0.2541 0.2541 0.6874
Ir3 0.2541 0.6874 0.2541
Ir4 0.7459 0.7459 0.3126
Ir5 0.3126 0.7459 0.7459
Ir6 0.7459 0.3126 0.7459

Computed properties:
ΔE_f: -8.51 eV/f.u.

***

## KLiF3 (GGA-PBE)

Data for crystalline KLiF3 at its relaxed geometry.

Cell lengths 4.0772, 4.0772, 10.1420 Å; angles 78.40, 78.40, 90.00 degrees
Element x y z (fractional)
K1 0.6578 0.1578 0.6845
K2 0.8422 0.3422 0.3155
Li1 0.0000 0.0000 0.0000
Li2 0.2500 0.7500 0.5000
F1 0.1747 0.9206 0.1587
F2 0.0794 0.8253 0.8413
F3 0.0794 0.3335 0.8413
F4 0.6665 0.9206 0.1587
F5 0.2541 0.2541 0.4917
F6 0.7459 0.7459 0.5083

Computed properties:
ΔE to the lowest computed polymorph: 76 meV/atom

***

## Ac2Mg2In (GGA-PBE)

Data for crystalline Ac2Mg2In at its relaxed geometry.

Cell lengths 5.3610, 6.5972, 10.6567 Å; angles 95.47, 75.43, 66.03 degrees
Element x y z (fractional)
Ac1 0.6972 0.2566 0.3490
Ac2 0.8946 0.2824 0.9284
Ac3 0.3028 0.7434 0.6510
Ac4 0.1054 0.7176 0.0716
Mg1 0.0562 0.3077 0.5798
Mg2 0.6429 0.8493 0.8649
Mg3 0.9438 0.6923 0.4202
Mg4 0.3571 0.1507 0.1351
In1 0.5729 0.1688 0.6855
In2 0.4271 0.8312 0.3145

Computed properties:
ΔE_f: -0.96 eV/f.u.

***

## NaGaSbPb (GGA-PBE)

Data for crystalline NaGaSbPb at its relaxed geometry.

Cell lengths 5.3674, 5.3674, 5.3674 Å; angles 60.00, 60.00, 60.00 degrees
Element x y z (fractional)
Pb1 0.0000 0.0000 0.0000
Sb1 0.7500 0.7500 0.7500
Ga1 0.2500 0.2500 0.2500
Na1 0.5000 0.5000 0.5000

***

## LaPmHoTh2 (GGA-PBE)

Data for crystalline LaPmHoTh2 at its relaxed geometry.

Cell lengths 6.7506, 6.7437, 8.5793 Å; angles 113.14, 90.00, 90.00 degrees
Element x y z (fractional)
La1 0.7500 0.7453 0.4907
La2 0.2500 0.2547 0.5093
Pm1 0.2500 0.8489 0.6979
Pm2 0.7500 0.1511 0.3021
Ho1 0.2500 0.6501 0.3002
Ho2 0.7500 0.3499 0.6998
Th1 0.5000 0.2518 0.0000
Th2 0.0000 0.7482 0.0000
Th3 0.5000 0.7482 0.0000
Th4 0.0000 0.2518 0.0000

Computed properties:
ΔE_f: 1.75 eV/f.u.

***

## RbLaGe (GGA-PBE)

Data for crystalline RbLaGe at its relaxed geometry.

Cell lengths 11.7361, 4.4545, 10.7400 Å; angles 90.00, 90.59, 90.00 degrees
Element x y z (fractional)
Ge1 0.0786 0.0000 0.5831
Ge2 0.9214 0.0000 0.4169
Ge3 0.0786 0.5000 0.0831
Ge4 0.9214 0.5000 0.9169
Rb1 0.6587 0.0000 0.8676
Rb2 0.3413 0.0000 0.1324
Rb3 0.6587 0.5000 0.3676
Rb4 0.3413 0.5000 0.6324
La1 0.9035 0.0000 0.1347
La2 0.0965 0.0000 0.8653
La3 0.9035 0.5000 0.6347
La4 0.0965 0.5000 0.3653

Computed properties:
ΔE to the lowest computed polymorph: 85 meV/atom
ΔE_f: -0.95 eV/f.u.

***

## Pr4ZnPb3 (GGA-PBE)

Data for crystalline Pr4ZnPb3 at its relaxed geometry.

Cell lengths 4.6538, 4.5297, 11.9240 Å; angles 90.00, 90.00, 90.00 degrees
Element x y z (fractional)
Pr1 0.5000 0.5000 0.3551
Pr2 0.0000 0.5000 0.8706
Pr3 0.0000 0.0000 0.1341
Pr4 0.5000 0.0000 0.6363
Zn1 0.5000 0.5000 0.0811
Pb1 0.0000 0.5000 0.5962
Pb2 0.0000 0.0000 0.4066
Pb3 0.5000 0.0000 0.9201

Computed properties:
ΔE_f: -3.85 eV/f.u.

***

## Pr2Al5Cu3 (GGA-PBE)

Data for crystalline Pr2Al5Cu3 at its relaxed geometry.

Cell lengths 6.0223, 8.5101, 8.5101 Å; angles 75.81, 69.28, 69.28 degrees
Element x y z (fractional)
Pr1 0.1299 0.6150 0.1251
Pr2 0.6299 0.1251 0.6150
Pr3 0.8701 0.3850 0.8749
Pr4 0.3701 0.8749 0.3850
Al1 0.3889 0.2525 0.9696
Al2 0.8889 0.9696 0.2525
Al3 0.6111 0.7475 0.0304
Al4 0.1111 0.0304 0.7475
Al5 0.4985 0.7515 0.7515
Al6 0.5015 0.2485 0.2485
Al7 0.7500 0.5000 0.5000
Al8 0.2500 0.5000 0.5000
Al9 0.0015 0.2485 0.2485
Al10 0.9985 0.7515 0.7515
Cu1 0.3740 0.5014 0.7505
Cu2 0.8740 0.7505 0.5014
Cu3 0.6260 0.4986 0.2495
Cu4 0.1260 0.2495 0.4986
Cu5 0.2500 0.0000 0.0000
Cu6 0.7500 0.0000 0.0000

Computed properties:
ΔE_f: -4.40 eV/f.u.

***

## BiTeRh2 (GGA-PBE)

Data for crystalline BiTeRh2 at its relaxed geometry.

Cell lengths 4.7983, 4.7983, 4.7983 Å; angles 60.00, 60.00, 60.00 degrees
Element x y z (fractional)
Te1 0.0000 0.0000 0.0000
Rh1 0.2500 0.2500 0.2500
Rh2 0.7500 0.7500 0.7500
Bi1 0.5000 0.5000 0.5000

Computed properties:
ΔE to the lowest computed polymorph: 284 meV/atom

***

Number 1: magnetic moment 0.000 μB/atom, calculated total energy -2.113 eV per atom. Number 2: magnetic moment 0.953 μB/atom, calculated total energy -4.339 eV per atom. Number 3: magnetic moment 0.000 μB/atom, calculated total energy -1.881 eV per atom. Number 4: magnetic moment 0.000 μB/atom, calculated total energy -6.352 eV per atom. Number 5: magnetic moment 0.027 μB/atom, calculated total energy -3.952 eV per atom. Number 6: magnetic moment 0.000 μB/atom, calculated total energy -3.021 eV per atom. Number 7: magnetic moment 0.000 μB/atom, calculated total energy -3.063 eV per atom. Number 8: magnetic moment 0.000 μB/atom, calculated total energy -5.469 eV per atom. Number 9: magnetic moment 0.001 μB/atom, calculated total energy -3.820 eV per atom. Number 10: magnetic moment 0.083 μB/atom, calculated total energy -4.421 eV per atom. Number 11: magnetic moment 0.000 μB/atom, calculated total energy -4.496 eV per atom. Number 12: magnetic moment 0.000 μB/atom, calculated total energy -5.405 eV per atom.